Entry from the Alexandria database: a geometry-optimized ThCuAg2 structure (PBE).

Properties
Theoretical density ... 9.955 g cm⁻³
Total magnetization ... 0.000 μB per atom
Raw total energy ... -4.234 eV per atom
ΔE_f ... 1.63 kcal/mol of atoms

Structure (CIF):
```
data_ThCuAg2
_chemical_formula_sum 'Th4 Cu4 Ag8'
_symmetry_space_group_name_H-M 'F m -3 m'
_symmetry_Int_Tables_number 225
_symmetry_space_group_name_Hall '-F 4 2 3'
_cell_length_a 6.9875
_cell_length_b 6.9875
_cell_length_c 6.9875
_cell_angle_alpha 90.00
_cell_angle_beta 90.00
_cell_angle_gamma 90.00
loop_
_atom_site_label
_atom_site_type_symbol
_atom_site_fract_x
_atom_site_fract_y
_atom_site_fract_z
Th1 Th 0.0000 0.0000 0.0000
Cu1 Cu 0.0000 0.0000 0.5000
Ag1 Ag 0.2500 0.2500 0.2500
```

Entry from the Alexandria database: a geometry-optimized LiPrInAu structure (PBE).

Properties
Theoretical density ... 8.705 g cm⁻³
Total magnetization ... 0.000 μB per atom
Raw total energy ... -3.778 eV per atom
ΔE_f ... -13.86 kcal/mol of atoms

Structure (CIF):
```
data_LiPrInAu
_chemical_formula_sum 'Li4 Pr4 In4 Au4'
_symmetry_space_group_name_H-M 'F -4 3 m'
_symmetry_Int_Tables_number 216
_symmetry_space_group_name_Hall 'F -4 2 3'
_cell_length_a 7.0520
_cell_length_b 7.0520
_cell_length_c 7.0520
_cell_angle_alpha 90.00
_cell_angle_beta 90.00
_cell_angle_gamma 90.00
loop_
_atom_site_label
_atom_site_type_symbol
_atom_site_fract_x
_atom_site_fract_y
_atom_site_fract_z
Li1 Li 0.0000 0.0000 0.0000
Pr1 Pr 0.2500 0.2500 0.7500
In1 In 0.2500 0.2500 0.2500
Au1 Au 0.0000 0.0000 0.5000
```

Entry from the Alexandria database: a geometry-optimized Li15Pd structure (PBE).

Properties
Theoretical density ... 1.191 g cm⁻³
Total magnetization ... 0.000 μB per atom
Raw total energy ... -2.171 eV per atom
ΔE_f ... -1.21 kcal/mol of atoms

Structure (CIF):
```
data_Li15Pd
_chemical_formula_sum 'Li15 Pd1'
_symmetry_space_group_name_H-M 'P -6 m 2'
_symmetry_Int_Tables_number 187
_symmetry_space_group_name_Hall 'P -6 2'
_cell_length_a 5.9491
_cell_length_b 5.9491
_cell_length_c 9.5738
_cell_angle_alpha 90.00
_cell_angle_beta 90.00
_cell_angle_gamma 120.00
loop_
_atom_site_label
_atom_site_type_symbol
_atom_site_fract_x
_atom_site_fract_y
_atom_site_fract_z
Li1 Li 0.0000 0.0000 0.0000
Li2 Li 0.0052 0.5026 0.5000
Li3 Li 0.3187 0.1594 0.2670
Li4 Li 0.3333 0.6667 0.2413
Li5 Li 0.5033 0.0067 0.0000
Pd1 Pd 0.0000 0.0000 0.5000
```

Entry from the Alexandria database: a geometry-optimized K2PrNdO4 structure (PBE).

Properties
Theoretical density ... 4.836 g cm⁻³
Total magnetization ... 0.000 μB per atom
Raw total energy ... -6.539 eV per atom
ΔE_f (raw) ... -2.59 eV per atom

Structure (CIF):
```
data_K2PrNdO4
_chemical_formula_sum 'K2 Pr1 Nd1 O4'
_symmetry_space_group_name_H-M 'P 1 2/m 1'
_symmetry_Int_Tables_number 10
_cell_length_a 6.3434
_cell_length_b 3.6617
_cell_length_c 6.6611
_cell_angle_alpha 90.00
_cell_angle_beta 108.48
_cell_angle_gamma 90.00
loop_
_symmetry_equiv_pos_as_xyz
'x,y,z'
'-x,-y,-z'
'-x,y,-z'
'x,-y,z'
loop_
_atom_site_label
_atom_site_type_symbol
_atom_site_fract_x
_atom_site_fract_y
_atom_site_fract_z
K1 K 0.0000 0.0000 0.0000
K2 K 0.5000 0.5000 0.0000
Pr1 Pr 0.0000 0.5000 0.5000
Nd1 Nd 0.5000 0.0000 0.5000
O1 O 0.2323 0.0000 0.6921
O2 O 0.2714 0.5000 0.3085
```

Entry from the Alexandria database: a geometry-optimized MgTiGaRu structure (PBE).

Properties
Theoretical density ... 6.566 g cm⁻³
Total magnetization ... 0.000 μB per atom
Raw total energy ... -5.747 eV per atom
ΔE_f ... -6.88 kcal/mol of atoms

Structure (CIF):
```
data_MgTiGaRu
_chemical_formula_sum 'Mg4 Ti4 Ga4 Ru4'
_symmetry_space_group_name_H-M 'F -4 3 m'
_symmetry_Int_Tables_number 216
_symmetry_space_group_name_Hall 'F -4 2 3'
_cell_length_a 6.2640
_cell_length_b 6.2640
_cell_length_c 6.2640
_cell_angle_alpha 90.00
_cell_angle_beta 90.00
_cell_angle_gamma 90.00
loop_
_atom_site_label
_atom_site_type_symbol
_atom_site_fract_x
_atom_site_fract_y
_atom_site_fract_z
Mg1 Mg 0.0000 0.0000 0.0000
Ti1 Ti 0.2500 0.2500 0.7500
Ga1 Ga 0.2500 0.2500 0.2500
Ru1 Ru 0.0000 0.0000 0.5000
```

Entry from the Alexandria database: a geometry-optimized InRu2Se structure (PBE).

Properties
Theoretical density ... 9.503 g cm⁻³
Total magnetization ... 0.000 μB per atom
Raw total energy ... -5.728 eV per atom
ΔE_f (raw) ... 0.47 eV per atom

Structure (CIF):
```
data_InRu2Se
_chemical_formula_sum 'In2 Ru4 Se2'
_symmetry_space_group_name_H-M 'C m m m'
_symmetry_Int_Tables_number 65
_symmetry_space_group_name_Hall '-C 2 2'
_cell_length_a 3.0655
_cell_length_b 5.3615
_cell_length_c 8.4183
_cell_angle_alpha 90.00
_cell_angle_beta 90.00
_cell_angle_gamma 90.00
loop_
_atom_site_label
_atom_site_type_symbol
_atom_site_fract_x
_atom_site_fract_y
_atom_site_fract_z
In1 In 0.0000 0.0000 0.0000
Ru1 Ru 0.0000 0.5000 0.2721
Se1 Se 0.0000 0.0000 0.5000
```

Entry from the Alexandria database: a geometry-optimized InTcNi structure (PBE).

Properties
Theoretical density ... 9.780 g cm⁻³
Total magnetization ... 0.000 μB per atom
Raw total energy ... -6.193 eV per atom
ΔE_f ... 2.37 kcal/mol of atoms

Structure (CIF):
```
data_InTcNi
_chemical_formula_sum 'In2 Tc2 Ni2'
_symmetry_space_group_name_H-M 'P -1'
_symmetry_Int_Tables_number 2
_cell_length_a 2.9433
_cell_length_b 4.5273
_cell_length_c 7.1539
_cell_angle_alpha 98.88
_cell_angle_beta 101.42
_cell_angle_gamma 91.11
loop_
_symmetry_equiv_pos_as_xyz
'x,y,z'
'-x,-y,-z'
loop_
_atom_site_label
_atom_site_type_symbol
_atom_site_fract_x
_atom_site_fract_y
_atom_site_fract_z
In1 In 0.0886 0.2920 0.1559
Tc1 Tc 0.2017 0.7555 0.4904
Ni1 Ni 0.4135 0.1920 0.8104
```

Entry from the Alexandria database: a geometry-optimized SrTc2Ag structure (PBE).

Properties
Theoretical density ... 7.319 g cm⁻³
Total magnetization ... 0.000 μB per atom
Raw total energy ... -5.464 eV per atom
ΔE_f ... 19.65 kcal/mol of atoms

Structure (CIF):
```
data_SrTc2Ag
_chemical_formula_sum 'Sr1 Tc2 Ag1'
_symmetry_space_group_name_H-M 'P 4/m m m'
_symmetry_Int_Tables_number 123
_symmetry_space_group_name_Hall '-P 4 2'
_cell_length_a 3.5799
_cell_length_b 3.5799
_cell_length_c 6.9310
_cell_angle_alpha 90.00
_cell_angle_beta 90.00
_cell_angle_gamma 90.00
loop_
_atom_site_label
_atom_site_type_symbol
_atom_site_fract_x
_atom_site_fract_y
_atom_site_fract_z
Sr1 Sr 0.0000 0.0000 0.0000
Tc1 Tc 0.5000 0.5000 0.3391
Ag1 Ag 0.0000 0.0000 0.5000
```